Entry 1:
The following is a PBE calculation of crystalline KTa3Hg at its relaxed geometry, from Alexandria via LeMat-Bulk.

* volume: 28.38 Å³/atom
* DOS at the Fermi energy: 1.05 states/eV per atom
* polymorph energy (0 for the lowest one): 0.000 eV per atom
* DFT total energy: -25.26 eV/f.u.
* ΔE_f: 2339.0 meV/atom
* total magnetic moment: 2.188 μB/f.u.

CIF file:
```
data_KTa3Hg
_space_group_name_H-M_alt 'P m -3 m'
_space_group_IT_number 221
_space_group_name_Hall '-P 4 2 3'
_cell_length_a 5.216
_cell_length_b 5.216
_cell_length_c 5.216
_cell_angle_alpha 90.00
_cell_angle_beta 90.00
_cell_angle_gamma 90.00
loop_
_atom_site_label
_atom_site_type_symbol
_atom_site_fract_x
_atom_site_fract_y
_atom_site_fract_z
K1 K 0.000 0.000 0.000
Ta1 Ta 0.000 0.500 0.500
Hg1 Hg 0.500 0.500 0.500
```



Entry 2:
The following is a PBE calculation of crystalline KTaHg3 at its relaxed geometry, from Alexandria via LeMat-Bulk.

* volume: 33.16 Å³/atom
* DOS at the Fermi energy: 1.58 states/eV per atom
* polymorph energy (0 for the lowest one): 0.000 eV per atom
* DFT total energy: -11.68 eV/f.u.
* ΔE_f: 435.7 meV/atom
* total magnetic moment: 1.312 μB/f.u.

CIF file:
```
data_KTaHg3
_space_group_name_H-M_alt 'P m -3 m'
_space_group_IT_number 221
_space_group_name_Hall '-P 4 2 3'
_cell_length_a 5.494
_cell_length_b 5.494
_cell_length_c 5.494
_cell_angle_alpha 90.00
_cell_angle_beta 90.00
_cell_angle_gamma 90.00
loop_
_atom_site_label
_atom_site_type_symbol
_atom_site_fract_x
_atom_site_fract_y
_atom_site_fract_z
K1 K 0.000 0.000 0.000
Ta1 Ta 0.500 0.500 0.500
Hg1 Hg 0.000 0.500 0.500
```



Entry 3:
The following is a PBE calculation of crystalline K4TaHg at its relaxed geometry, from Alexandria via LeMat-Bulk.

* volume: 43.49 Å³/atom
* DOS at the Fermi energy: 1.13 states/eV per atom
* DFT total energy: -9.98 eV/f.u.
* ΔE_f: 1093.3 meV/atom
* total magnetic moment: 4.607 μB/f.u.

CIF file:
```
data_K4TaHg
_space_group_name_H-M_alt 'F -4 3 m'
_space_group_IT_number 216
_space_group_name_Hall 'F -4 2 3'
_cell_length_a 10.144
_cell_length_b 10.144
_cell_length_c 10.144
_cell_angle_alpha 90.00
_cell_angle_beta 90.00
_cell_angle_gamma 90.00
loop_
_atom_site_label
_atom_site_type_symbol
_atom_site_fract_x
_atom_site_fract_y
_atom_site_fract_z
K1 K 0.124 0.124 0.124
Ta1 Ta 0.250 0.250 0.750
Hg1 Hg 0.000 0.000 0.500
```



Entry 4:
The following is a PBE calculation of crystalline KTaHg3 at its relaxed geometry, from Alexandria via LeMat-Bulk.

* volume: 42.32 Å³/atom
* DOS at the Fermi energy: 2.64 states/eV per atom
* polymorph energy (0 for the lowest one): 1.054 eV per atom
* DFT total energy: -6.41 eV/f.u.
* ΔE_f: 1489.9 meV/atom
* total magnetic moment: 3.955 μB/f.u.

CIF file:
```
data_KTaHg3
_space_group_name_H-M_alt 'P m -3 m'
_space_group_IT_number 221
_space_group_name_Hall '-P 4 2 3'
_cell_length_a 5.959
_cell_length_b 5.959
_cell_length_c 5.959
_cell_angle_alpha 90.00
_cell_angle_beta 90.00
_cell_angle_gamma 90.00
loop_
_atom_site_label
_atom_site_type_symbol
_atom_site_fract_x
_atom_site_fract_y
_atom_site_fract_z
K1 K 0.000 0.000 0.000
Ta1 Ta 0.500 0.500 0.500
Hg1 Hg 0.000 0.000 0.500
```



Entry 5:
The following is a PBE calculation of crystalline KTa4Hg at its relaxed geometry, from Alexandria via LeMat-Bulk.

* volume: 21.81 Å³/atom
* DOS at the Fermi energy: 1.03 states/eV per atom
* DFT total energy: -42.93 eV/f.u.
* ΔE_f: 980.2 meV/atom
* total magnetic moment: 0.000 μB/f.u.

CIF file:
```
data_KTa4Hg
_space_group_name_H-M_alt 'F -4 3 m'
_space_group_IT_number 216
_space_group_name_Hall 'F -4 2 3'
_cell_length_a 8.059
_cell_length_b 8.059
_cell_length_c 8.059
_cell_angle_alpha 90.00
_cell_angle_beta 90.00
_cell_angle_gamma 90.00
loop_
_atom_site_label
_atom_site_type_symbol
_atom_site_fract_x
_atom_site_fract_y
_atom_site_fract_z
K1 K 0.000 0.000 0.000
Ta1 Ta 0.127 0.127 0.627
Hg1 Hg 0.250 0.250 0.250
```



Entry 6:
The following is a PBE calculation of crystalline KTa3Hg at its relaxed geometry, from Alexandria via LeMat-Bulk.

* volume: 20.48 Å³/atom
* DOS at the Fermi energy: 1.26 states/eV per atom
* polymorph energy (0 for the lowest one): 0.574 eV per atom
* DFT total energy: -22.39 eV/f.u.
* ΔE_f: 2912.5 meV/atom
* total magnetic moment: 0.000 μB/f.u.

CIF file:
```
data_KTa3Hg
_space_group_name_H-M_alt 'P m -3 m'
_space_group_IT_number 221
_space_group_name_Hall '-P 4 2 3'
_cell_length_a 4.678
_cell_length_b 4.678
_cell_length_c 4.678
_cell_angle_alpha 90.00
_cell_angle_beta 90.00
_cell_angle_gamma 90.00
loop_
_atom_site_label
_atom_site_type_symbol
_atom_site_fract_x
_atom_site_fract_y
_atom_site_fract_z
K1 K 0.000 0.000 0.000
Ta1 Ta 0.000 0.000 0.500
Hg1 Hg 0.500 0.500 0.500
```



Entry 7:
The following is a PBE calculation of crystalline K2TaHgTe4 at its relaxed geometry, from Alexandria via LeMat-Bulk.

* volume: 42.02 Å³/atom
* DOS at the Fermi energy: 0.41 states/eV per atom
* DFT total energy: -30.64 eV/f.u.
* total magnetic moment: 0.000 μB/f.u.
* formation energy (no corrections): -465 meV/atom

CIF file:
```
data_K2TaHgTe4
_space_group_name_H-M_alt 'F d d d'
_space_group_IT_number 70
_cell_length_a 7.339
_cell_length_b 14.075
_cell_length_c 26.032
_cell_angle_alpha 90.00
_cell_angle_beta 90.00
_cell_angle_gamma 90.00
loop_
_space_group_symop_operation_xyz
'x,y,z'
'-x,-y,-z'
'-x+1/4,-y+1/4,z'
'x+1/4,y+1/4,-z'
'x,-y+1/4,-z+1/4'
'-x,y+1/4,z+1/4'
'-x+1/4,y,-z+1/4'
'x+1/4,-y,z+1/4'
'x,y+1/2,z+1/2'
'-x,-y+1/2,-z+1/2'
'-x+1/4,-y+3/4,z+1/2'
'x+1/4,y+3/4,-z+1/2'
'x,-y+3/4,-z+3/4'
'-x,y+3/4,z+3/4'
'-x+1/4,y+1/2,-z+3/4'
'x+1/4,-y+1/2,z+3/4'
'x+1/2,y,z+1/2'
'-x+1/2,-y,-z+1/2'
'-x+3/4,-y+1/4,z+1/2'
'x+3/4,y+1/4,-z+1/2'
'x+1/2,-y+1/4,-z+3/4'
'-x+1/2,y+1/4,z+3/4'
'-x+3/4,y,-z+3/4'
'x+3/4,-y,z+3/4'
'x+1/2,y+1/2,z'
'-x+1/2,-y+1/2,-z'
'-x+3/4,-y+3/4,z'
'x+3/4,y+3/4,-z'
'x+1/2,-y+3/4,-z+1/4'
'-x+1/2,y+3/4,z+1/4'
'-x+3/4,y+1/2,-z+1/4'
'x+3/4,-y+1/2,z+1/4'
loop_
_atom_site_label
_atom_site_type_symbol
_atom_site_fract_x
_atom_site_fract_y
_atom_site_fract_z
K1 K 0.125 0.125 0.313
Ta1 Ta 0.125 0.125 0.625
Hg1 Hg 0.125 0.125 0.125
Te1 Te 0.092 0.270 0.817
```



Entry 8:
The following is a PBE calculation of crystalline KTbHg at its relaxed geometry, from Alexandria via LeMat-Bulk.

* volume: 37.11 Å³/atom
* DOS at the Fermi energy: 0.73 states/eV per atom
* DFT total energy: -5.95 eV/f.u.
* ΔE_f: 28.1 meV/atom
* total magnetic moment: 0.048 μB/f.u.

CIF file:
```
data_KTbHg
_space_group_name_H-M_alt 'P -6 m 2'
_space_group_IT_number 187
_space_group_name_Hall 'P -6 2'
_cell_length_a 3.8976
_cell_length_b 3.8976
_cell_length_c 16.9216
_cell_angle_alpha 90.00
_cell_angle_beta 90.00
_cell_angle_gamma 120.00
loop_
_atom_site_label
_atom_site_type_symbol
_atom_site_fract_x
_atom_site_fract_y
_atom_site_fract_z
K1 K 0.0000 0.0000 0.1666
Tb1 Tb 0.3333 0.6667 0.3748
Hg1 Hg 0.0000 0.0000 0.5000
Hg2 Hg 0.3333 0.6667 0.0000
```



Question: The lowest DFT total energy belongs to which entry?
Answer: KTa4Hg



Question: What is the DFT total energy in the second record?
Answer: -11.68 eV/f.u.